BaTe2OsN after structural relaxation, computed with PBE-GGA.

extended XYZ file:
```
5
Lattice="5.8049 0.0000 0.0000 0.0000 5.8049 0.0000 0.0000 0.0000 3.7742" Properties=species:S:1:pos:R:3 pbc="T T T"
Ba 0.0000 0.0000 0.0000
Te 0.0000 2.9024 1.8871
Te 2.9024 0.0000 1.8871
Os 2.9024 2.9024 1.8871
N 2.9024 2.9024 0.0000
```

Summary:
The electronic total energy comes out at -5.836 eV/atom. The calculation puts the energy relative to the lowest polymorph listed for this composition at 0 meV per atom. The formation energy without anion corrections is -0.28 eV/atom. The value obtained for the spin magnetization is 0.000 μB/atom. Its symmetry is P4/mmm (123).

***

Ba2TeOsN after structural relaxation, computed with PBE-GGA.

extended XYZ file:
```
5
Lattice="6.0285 0.0000 0.0000 0.0000 6.0285 0.0000 0.0000 0.0000 3.8347" Properties=species:S:1:pos:R:3 pbc="T T T"
Ba 0.0000 3.0143 0.0000
Ba 3.0143 0.0000 0.0000
Te 0.0000 0.0000 1.9174
Os 3.0143 3.0143 1.9174
N 3.0143 3.0143 0.0000
```

Summary:
The electronic total energy comes out at -5.966 eV/atom. The formation energy without anion corrections is -0.66 eV/atom. The value obtained for the spin magnetization is 0.080 μB/atom. Its symmetry is P4/mmm (123).

***

BaTe2OsN after structural relaxation, computed with PBE-GGA.

extended XYZ file:
```
5
Lattice="6.4422 0.0000 0.0000 0.0000 6.4422 0.0000 0.0000 0.0000 4.3062" Properties=species:S:1:pos:R:3 pbc="T T T"
Ba 0.0000 0.0000 0.0000
Te 0.0000 3.2211 0.0000
Te 3.2211 0.0000 0.0000
Os 3.2211 3.2211 2.1531
N 0.0000 0.0000 2.1531
```

Summary:
The electronic total energy comes out at -3.403 eV/atom. The calculation puts the energy relative to the lowest polymorph listed for this composition at 2433 meV per atom. The formation energy without anion corrections is 2.15 eV/atom. The value obtained for the spin magnetization is 0.787 μB/atom. Its symmetry is P4/mmm (123).

***

BaTh2OsN4 after structural relaxation, computed with PBE-GGA.

extended XYZ file:
```
16
Lattice="1.8645 -6.1765 0.0000 1.8645 6.1765 0.0000 0.0000 0.0000 12.6351" Properties=species:S:1:pos:R:3 pbc="T T T"
Ba 1.8645 5.2539 9.4763
Ba 1.8645 -5.2539 3.1588
Th 1.8645 1.6567 6.9621
Th 1.8645 1.6567 11.9905
Th 1.8645 -1.6567 0.6446
Th 1.8645 -1.6567 5.6729
Os 1.8645 3.8128 3.1588
Os 1.8645 -3.8128 9.4763
N 0.0000 0.0000 0.0000
N 0.0000 0.0000 6.3175
N 1.8645 3.0767 1.2946
N 1.8645 3.0767 5.0229
N 1.8645 1.4999 9.4763
N 1.8645 -1.4999 3.1588
N 1.8645 -3.0767 7.6122
N 1.8645 -3.0767 11.3404
```

Summary:
The electronic total energy comes out at -8.571 eV/atom. The formation energy without anion corrections is -0.91 eV/atom. The value obtained for the spin magnetization is 0.000 μB/atom. Its symmetry is Cmcm (63).

***

Ba2ThOs2N6 after structural relaxation, computed with PBE-GGA.

extended XYZ file:
```
11
Lattice="3.0643 1.7692 6.3507 -3.0643 1.7692 6.3507 0.0000 -3.5383 6.3507" Properties=species:S:1:pos:R:3 pbc="T T T"
Ba 0.0000 0.0000 4.0619
Ba 0.0000 0.0000 14.9903
Th 0.0000 0.0000 0.0000
Os 0.0000 0.0000 7.6477
Os 0.0000 0.0000 11.4045
N -1.5345 -0.8860 11.0738
N 0.0000 -1.7719 7.9784
N -1.5345 0.8860 7.9784
N 1.5345 -0.8860 11.0738
N 0.0000 1.7719 11.0738
N 1.5345 0.8860 7.9784
```

Summary:
The electronic total energy comes out at -8.110 eV/atom. The formation energy without anion corrections is -0.50 eV/atom. The value obtained for the spin magnetization is 0.000 μB/atom. Its symmetry is R-3m (166).

***

Ba2TlOsN after structural relaxation, computed with PBE-GGA.

extended XYZ file:
```
5
Lattice="5.9847 0.0000 0.0000 0.0000 5.9847 0.0000 0.0000 0.0000 3.8296" Properties=species:S:1:pos:R:3 pbc="T T T"
Ba 0.0000 2.9923 0.0000
Ba 2.9923 0.0000 0.0000
Tl 0.0000 0.0000 1.9148
Os 2.9923 2.9923 1.9148
N 2.9923 2.9923 0.0000
```

Summary:
The electronic total energy comes out at -5.393 eV/atom. The formation energy without anion corrections is -0.24 eV/atom. The value obtained for the spin magnetization is 0.000 μB/atom. Its symmetry is P4/mmm (123).

***

Question: Among the records above, which one has the highest electronic total energy?
Answer: number 3

***

Copy entry 4 word for word.
BaTh2OsN4 after structural relaxation, computed with PBE-GGA.

extended XYZ file:
```
16
Lattice="1.8645 -6.1765 0.0000 1.8645 6.1765 0.0000 0.0000 0.0000 12.6351" Properties=species:S:1:pos:R:3 pbc="T T T"
Ba 1.8645 5.2539 9.4763
Ba 1.8645 -5.2539 3.1588
Th 1.8645 1.6567 6.9621
Th 1.8645 1.6567 11.9905
Th 1.8645 -1.6567 0.6446
Th 1.8645 -1.6567 5.6729
Os 1.8645 3.8128 3.1588
Os 1.8645 -3.8128 9.4763
N 0.0000 0.0000 0.0000
N 0.0000 0.0000 6.3175
N 1.8645 3.0767 1.2946
N 1.8645 3.0767 5.0229
N 1.8645 1.4999 9.4763
N 1.8645 -1.4999 3.1588
N 1.8645 -3.0767 7.6122
N 1.8645 -3.0767 11.3404
```

Summary:
The electronic total energy comes out at -8.571 eV/atom. The formation energy without anion corrections is -0.91 eV/atom. The value obtained for the spin magnetization is 0.000 μB/atom. Its symmetry is Cmcm (63).

***

Question: What is the electronic total energy in the third record?
Answer: -3.403 eV/atom

***

Question: Number 1 is which compound?
Answer: BaTe2OsN